8
Lattice="-3.4007 -3.3138 -3.3850 1.4942 -1.9312 -5.5376 1.7830 -4.2162 8.4368" Properties=species:S:1:pos:R:3 comment="TcI2F5 (GGA-PBE, optimized geometry)" spacegroup=P1 magnetic_moment_mub_per_fu=2.11 total_energy_ev_per_cell=-34.12 e_form_raw_kj_per_mol_atoms=-136.2 pbc="T T T"
Tc 3.0306 -5.8261 2.7589
I 1.7000 -4.0436 -1.6758
I -0.6221 -4.2730 0.2236
F -2.2165 -4.1039 -3.1845
F 1.2269 -4.8199 6.6547
F -0.0164 -8.2007 0.9984
F 1.3930 -6.3434 3.3964
F -0.2995 -7.5475 -1.5521